Record 1
Computed, not measured: a relaxed structure of Sr2LiAgCl6 at the PBE level of DFT.

a b c (Å): 7.0932 7.1024 7.5912
angles (deg): 61.27 62.03 59.46
Positions (direct):
1 Sr 0.0192 0.0174 0.9478
2 Cl 0.2143 0.9613 0.2424
3 Cl 0.1004 0.4450 0.7481
4 Li 0.3192 0.3146 0.0548
5 Ag 0.8052 0.8225 0.5578
6 Cl 0.6925 0.1050 0.7672
7 Cl 0.4361 0.6924 0.7624
8 Sr 0.5235 0.5214 0.4370
9 Cl 0.9616 0.5796 0.2420
10 Cl 0.5895 0.2025 0.2557

Its density of states at the Fermi level is 0.00 states/eV/f.u. Its total energy is -3.828 eV/atom. Its total moment is 0.0 μB per formula unit.


Record 2
Computed, not measured: a relaxed structure of SrLiAgCl4 at the PBE level of DFT.

a b c (Å): 7.8234 8.0456 8.0456
angles (deg): 63.48 60.91 60.91
Positions (direct):
1 Li 0.0000 0.0000 0.5000
2 Li 0.5000 0.0000 0.5000
3 Ag 0.3450 0.4050 0.9050
4 Cl 0.7448 0.2238 0.2866
5 Cl 0.7373 0.7639 0.2639
6 Sr 0.0000 0.0000 0.0000
7 Ag 0.6550 0.5950 0.0950
8 Cl 0.2552 0.2134 0.2762
9 Cl 0.2552 0.7762 0.7134
10 Cl 0.7651 0.2361 0.7361
11 Cl 0.2349 0.7639 0.2639
12 Cl 0.2627 0.2361 0.7361
13 Cl 0.7448 0.7866 0.7238
14 Sr 0.0000 0.5000 0.5000

Its density of states at the Fermi level is 0.00 states/eV/f.u. Its total energy is -3.644 eV/atom. Its total moment is 0.0 μB per formula unit.


Record 3
Computed, not measured: a relaxed structure of Li2TbAgCl6 at the PBE level of DFT.

a b c (Å): 6.6681 6.6692 7.2023
angles (deg): 62.39 62.44 59.98
Positions (direct):
1 Cl 0.1281 0.3849 0.7492
2 Cl 0.9088 0.6077 0.2430
3 Cl 0.2405 0.9086 0.2430
4 Cl 0.6077 0.2402 0.2433
5 Li 0.0096 0.0095 0.9715
6 Cl 0.3846 0.7378 0.7491
7 Tb 0.3212 0.3210 0.0366
8 Li 0.5198 0.5196 0.4414
9 Cl 0.7377 0.1284 0.7492
10 Ag 0.8035 0.8039 0.5888

Its density of states at the Fermi level is 0.00 states/eV/f.u. Its total energy is -3.949 eV/atom. Its total moment is 0.0 μB per formula unit.


Record 4
Computed, not measured: a relaxed structure of LiTbAgCl5 at the PBE level of DFT.

a b c (Å): 7.3719 7.3719 9.8616
angles (deg): 101.23 101.23 118.48
Positions (direct):
1 Cl 0.2463 0.4305 0.5553
2 Li 0.7174 0.2826 0.2500
3 Li 0.2826 0.7174 0.7500
4 Cl 0.5695 0.7537 0.9447
5 Cl 0.3491 0.0062 0.6458
6 Cl 0.9938 0.6509 0.8542
7 Cl 0.7537 0.5695 0.4447
8 Tb 0.0000 0.0000 0.0000
9 Cl 0.4305 0.2463 0.0553
10 Tb 0.0000 0.0000 0.5000
11 Cl 0.6509 0.9938 0.3542
12 Cl 0.9166 0.0834 0.7500
13 Ag 0.4308 0.5692 0.2500
14 Cl 0.0062 0.3491 0.1458
15 Ag 0.5692 0.4308 0.7500
16 Cl 0.0834 0.9166 0.2500

Its density of states at the Fermi level is 0.00 states/eV/f.u. Its total energy is -4.015 eV/atom. Its total moment is 0.0 μB per formula unit.


Record 5
Computed, not measured: a relaxed structure of Li2TcAgCl at the PBE level of DFT.

a b c (Å): 4.9744 5.1293 4.9744
angles (deg): 90.00 90.00 90.00
Last column: magnetic moment on the atom in μB.
Positions (direct):
1 Tc 0.0000 0.5000 0.0000  3.18
2 Li 0.0000 0.0000 0.5000  -0.02
3 Li 0.5000 0.0000 0.0000  -0.03
4 Cl 0.5000 0.5000 0.5000  0.05
5 Ag 0.0000 0.0000 0.0000  0.06

Its density of states at the Fermi level is 2.13 states/eV/f.u. Its total energy is -3.190 eV/atom. Its total moment is 3.6 μB per formula unit.


Record 6
Computed, not measured: a relaxed structure of LiThAgCl6 at the PBE level of DFT.

a b c (Å): 6.4388 6.4388 11.9096
angles (deg): 90.00 90.00 90.00
Positions (direct):
1 Th 0.0000 0.0000 0.3311
2 Cl 0.2979 0.2979 0.3263
3 Th 0.5000 0.5000 0.8311
4 Cl 0.2905 0.2905 0.6711
5 Li 0.5000 0.5000 0.1660
6 Cl 0.7979 0.2021 0.8263
7 Cl 0.2095 0.7905 0.1711
8 Ag 0.5000 0.5000 0.5015
9 Cl 0.3078 0.3078 0.0034
10 Cl 0.7095 0.7095 0.6711
11 Cl 0.1922 0.8078 0.5034
12 Cl 0.7021 0.7021 0.3263
13 Ag 0.0000 0.0000 0.0015
14 Li 0.0000 0.0000 0.6660
15 Cl 0.8078 0.1922 0.5034
16 Cl 0.6922 0.6922 0.0034
17 Cl 0.2021 0.7979 0.8263
18 Cl 0.7905 0.2095 0.1711

Its density of states at the Fermi level is 0.00 states/eV/f.u. Its total energy is -4.273 eV/atom. Its total moment is 0.0 μB per formula unit.


no.,formation energy from raw total energies (eV per atom)
1,-1.907
2,-1.668
3,-1.710
4,-1.686
5,0.588
6,-1.688